No. 1
# Ti4Hg3Mo (PBE, optimized geometry)
data_Ti4Hg3Mo
_cell_length_a 3.1910
_cell_length_b 3.1910
_cell_length_c 14.4001
_cell_angle_alpha 90.00
_cell_angle_beta 90.00
_cell_angle_gamma 90.00
_space_group_name_H-M_alt 'P 1'
_space_group_IT_number 1
loop_
_space_group_symop_operation_xyz
'x,y,z'
loop_
_atom_site_label
_atom_site_fract_x
_atom_site_fract_y
_atom_site_fract_z
_atom_site_occupancy
Ti1 0.0000 0.0000 0.1011 1
Ti2 0.0000 0.0000 0.3667 1
Ti3 0.0000 0.0000 0.6333 1
Ti4 0.0000 0.0000 0.8989 1
Hg1 0.5000 0.5000 0.2331 1
Hg2 0.5000 0.5000 0.5000 1
Hg3 0.5000 0.5000 0.7669 1
Mo1 0.5000 0.5000 0.0000 1
# **Crystal system**: tetragonal
# **Formation enthalpy at 0 K**: -0.079 eV per atom

***

No. 2
# AcRh3Pb3 (PBE, optimized geometry)
data_AcRh3Pb3
_cell_length_a 9.5215
_cell_length_b 9.5215
_cell_length_c 4.5373
_cell_angle_alpha 90.00
_cell_angle_beta 90.00
_cell_angle_gamma 120.00
_space_group_name_H-M_alt 'P 1'
_space_group_IT_number 1
loop_
_space_group_symop_operation_xyz
'x,y,z'
loop_
_atom_site_label
_atom_site_fract_x
_atom_site_fract_y
_atom_site_fract_z
_atom_site_occupancy
Ac1 0.3333 0.6667 0.2500 1
Ac2 0.6667 0.3333 0.7500 1
Rh1 0.0481 0.6032 0.7500 1
Rh2 0.3968 0.4449 0.7500 1
Rh3 0.4449 0.0481 0.2500 1
Rh4 0.5551 0.9519 0.7500 1
Rh5 0.6032 0.5551 0.2500 1
Rh6 0.9519 0.3968 0.2500 1
Pb1 0.0606 0.3133 0.7500 1
Pb2 0.2527 0.9394 0.7500 1
Pb3 0.3133 0.2527 0.2500 1
Pb4 0.6867 0.7473 0.7500 1
Pb5 0.7473 0.0606 0.2500 1
Pb6 0.9394 0.6867 0.2500 1
# **Crystal system**: hexagonal
# **Polymorph energy (0 for the lowest one)**: 0 meV/atom
# **Formation enthalpy at 0 K**: -0.286 eV per atom

***

No. 3
# LaErTh2S4 (PBE, optimized geometry)
data_LaErTh2S4
_cell_length_a 6.9156
_cell_length_b 4.0123
_cell_length_c 7.0501
_cell_angle_alpha 90.00
_cell_angle_beta 109.12
_cell_angle_gamma 90.00
_space_group_name_H-M_alt 'P 1'
_space_group_IT_number 1
loop_
_space_group_symop_operation_xyz
'x,y,z'
loop_
_atom_site_label
_atom_site_fract_x
_atom_site_fract_y
_atom_site_fract_z
_atom_site_occupancy
La1 0.0000 0.0000 0.0000 1
Er1 0.5000 0.5000 0.0000 1
Th1 0.0000 0.5000 0.5000 1
Th2 0.5000 0.0000 0.5000 1
S1 0.2600 0.5000 0.2461 1
S2 0.2642 0.0000 0.7610 1
S3 0.7358 0.0000 0.2390 1
S4 0.7400 0.5000 0.7539 1
# **Crystal system**: monoclinic
# **Uncorrected formation energy**: -1926 meV/atom

***

No. 4
# Tb2PmEr3S6 (PBE, optimized geometry)
data_Tb2PmEr3S6
_cell_length_a 6.7700
_cell_length_b 6.7700
_cell_length_c 6.8012
_cell_angle_alpha 99.52
_cell_angle_beta 99.52
_cell_angle_gamma 120.19
_space_group_name_H-M_alt 'P 1'
_space_group_IT_number 1
loop_
_space_group_symop_operation_xyz
'x,y,z'
loop_
_atom_site_label
_atom_site_fract_x
_atom_site_fract_y
_atom_site_fract_z
_atom_site_occupancy
Tb1 0.1662 0.8338 0.0000 1
Tb2 0.8338 0.1662 0.0000 1
Pm1 0.5000 0.5000 0.0000 1
Er1 0.0000 0.0000 0.5000 1
Er2 0.3360 0.6640 0.5000 1
Er3 0.6640 0.3360 0.5000 1
S1 0.0742 0.4134 0.7401 1
S2 0.2472 0.2472 0.2581 1
S3 0.4134 0.0742 0.7401 1
S4 0.5866 0.9258 0.2599 1
S5 0.7528 0.7528 0.7419 1
S6 0.9258 0.5866 0.2599 1
# **Crystal system**: monoclinic
# **Uncorrected formation energy**: -1990 meV/atom

***

No. 5
# Ti2ZnHg (PBE, optimized geometry)
data_Ti2ZnHg
_cell_length_a 7.4510
_cell_length_b 7.4510
_cell_length_c 5.3511
_cell_angle_alpha 90.00
_cell_angle_beta 90.00
_cell_angle_gamma 90.00
_space_group_name_H-M_alt 'P 1'
_space_group_IT_number 1
loop_
_space_group_symop_operation_xyz
'x,y,z'
loop_
_atom_site_label
_atom_site_fract_x
_atom_site_fract_y
_atom_site_fract_z
_atom_site_occupancy
Ti1 0.2376 0.2500 0.1250 1
Ti2 0.2500 0.7376 0.3750 1
Ti3 0.2500 0.7624 0.8750 1
Ti4 0.2624 0.2500 0.6250 1
Ti5 0.7376 0.7500 0.6250 1
Ti6 0.7500 0.2376 0.8750 1
Ti7 0.7500 0.2624 0.3750 1
Ti8 0.7624 0.7500 0.1250 1
Zn1 0.0000 0.0000 0.0000 1
Zn2 0.0000 0.5000 0.2500 1
Zn3 0.5000 0.0000 0.7500 1
Zn4 0.5000 0.5000 0.5000 1
Hg1 0.0000 0.0000 0.5000 1
Hg2 0.0000 0.5000 0.7500 1
Hg3 0.5000 0.0000 0.2500 1
Hg4 0.5000 0.5000 0.0000 1
# **Crystal system**: tetragonal
# **Polymorph energy (0 for the lowest one)**: 397 meV/atom
# **Formation enthalpy at 0 K**: 0.303 eV per atom

***

No. 6
# B5C7 (PBE, optimized geometry)
data_B5C7
_cell_length_a 6.0061
_cell_length_b 6.0061
_cell_length_c 5.3787
_cell_angle_alpha 103.72
_cell_angle_beta 103.72
_cell_angle_gamma 24.76
_space_group_name_H-M_alt 'P 1'
_space_group_IT_number 1
loop_
_space_group_symop_operation_xyz
'x,y,z'
loop_
_atom_site_label
_atom_site_fract_x
_atom_site_fract_y
_atom_site_fract_z
_atom_site_occupancy
B1 0.0000 0.0000 0.0000 1
B2 0.0792 0.0792 0.7442 1
B3 0.3157 0.3157 0.5984 1
B4 0.3965 0.3965 0.9346 1
B5 0.6632 0.6632 0.3128 1
C1 0.0732 0.0732 0.2812 1
C2 0.3209 0.3209 0.1462 1
C3 0.4082 0.4082 0.4190 1
C4 0.6683 0.6683 0.8204 1
C5 0.7425 0.7425 0.1019 1
C6 0.7475 0.7475 0.6347 1
C7 0.9871 0.9871 0.4658 1
# **Crystal system**: monoclinic
# **Polymorph energy (0 for the lowest one)**: 168 meV/atom
# **Formation enthalpy at 0 K**: 0.426 eV per atom

***

| no. | V (Å³/cell) |
| --- | --- |
| 1 | 146.6 |
| 2 | 356.2 |
| 3 | 184.8 |
| 4 | 254.2 |
| 5 | 297.1 |
| 6 | 78.8 |